# 1
## AcPtPb2 (GGA-PBE)

Data for crystalline AcPtPb2 at its relaxed geometry.

a b c (Å): 3.8921 3.8921 30.7238
angles (deg): 90.00 90.00 120.00
Space group R-3m (No. 166, hexagonal axes)
Symmetry-distinct sites (fractional):
Ac 0.0000 0.0000 0.0000 [3 per cell]
Pt 0.0000 0.0000 0.5000 [3 per cell]
Pb 0.0000 0.0000 0.1114 [6 per cell]

Results
As for the crystal system: trigonal. The calculation puts the formation energy from the elements at -15 meV per atom. The excess energy over the best structure of this formula in the dataset is 570.5 meV/atom.


# 2
## CeNdCl4 (GGA-PBE)

Data for crystalline CeNdCl4 at its relaxed geometry.

a b c (Å): 5.614 5.614 11.193
angles (deg): 90.00 90.00 90.00
Space group I-4m2 (No. 119)
Symmetry-distinct sites (fractional):
Ce 0.000 0.000 0.000 [2 per cell]
Nd 0.000 0.500 0.250 [2 per cell]
Cl 0.000 0.000 0.258 [4 per cell]
Cl 0.000 0.500 0.506 [4 per cell]

Results
As for the crystal system: tetragonal. The value obtained for the formation energy without anion corrections is -1.92 eV per atom.


# 3
## BaSr2As2 (GGA-PBE)

Data for crystalline BaSr2As2 at its relaxed geometry.

a b c (Å): 5.020 5.020 14.561
angles (deg): 90.00 90.00 90.00
Space group I4/mmm (No. 139)
Symmetry-distinct sites (fractional):
Ba 0.000 0.000 0.000 [2 per cell]
Sr 0.000 0.500 0.250 [4 per cell]
As 0.000 0.000 0.375 [4 per cell]

Results
As for the crystal system: tetragonal. The calculation puts the formation energy from the elements at -845 meV per atom. The excess energy over the best structure of this formula in the dataset is 272.8 meV/atom.


# 4
## ZrSn2Au (GGA-PBE)

Data for crystalline ZrSn2Au at its relaxed geometry.

a b c (Å): 7.104 7.104 7.104
angles (deg): 90.00 90.00 90.00
Space group Fm-3m (No. 225)
Symmetry-distinct sites (fractional):
Zr 0.000 0.000 0.000 [4 per cell]
Sn 0.250 0.250 0.250 [8 per cell]
Au 0.000 0.000 0.500 [4 per cell]

Results
As for the crystal system: cubic. The calculation puts the formation energy from the elements at -5 meV per atom. The excess energy over the best structure of this formula in the dataset is 327.2 meV/atom.


# 5
## LiTlAs2 (GGA-PBE)

Data for crystalline LiTlAs2 at its relaxed geometry.

a b c (Å): 3.497 3.497 7.267
angles (deg): 90.00 90.00 90.00
Space group P4mm (No. 99)
Symmetry-distinct sites (fractional):
Li 0.000 0.000 0.000 [1 per cell]
Tl 0.500 0.500 0.281 [1 per cell]
As 0.000 0.000 0.638 [1 per cell]
As 0.500 0.500 0.786 [1 per cell]

Results
As for the crystal system: tetragonal. The calculation puts the formation energy from the elements at -59 meV per atom.


# 6
## HfBe9Os2 (GGA-PBE)

Data for crystalline HfBe9Os2 at its relaxed geometry.

a b c (Å): 4.4019 4.4019 20.9525
angles (deg): 90.00 90.00 120.00
Space group R-3m (No. 166, hexagonal axes)
Symmetry-distinct sites (fractional):
Hf 0.0000 0.0000 0.0000 [3 per cell]
Be 0.0000 0.0000 0.3329 [6 per cell]
Be 0.0000 0.0000 0.5000 [3 per cell]
Be 0.0059 0.5029 0.9138 [18 per cell]
Os 0.0000 0.0000 0.1415 [6 per cell]

Results
As for the crystal system: trigonal. The calculation puts the formation energy from the elements at -301 meV per atom.


# 7
## Li3Ga3Sn (GGA-PBE)

Data for crystalline Li3Ga3Sn at its relaxed geometry.

a b c (Å): 7.6858 7.6858 4.9067
angles (deg): 90.00 90.00 120.00
Space group P6_3/m (No. 176)
Symmetry-distinct sites (fractional):
Li 0.1000 0.4633 0.2500 [6 per cell]
Ga 0.0419 0.2286 0.7500 [6 per cell]
Sn 0.3333 0.6667 0.7500 [2 per cell]

Results
As for the crystal system: hexagonal. The calculation puts the formation energy from the elements at -256 meV per atom. The excess energy over the best structure of this formula in the dataset is 0.0 meV/atom.


# 8
## TmThHg4 (GGA-PBE)

Data for crystalline TmThHg4 at its relaxed geometry.

a b c (Å): 8.447 8.447 8.447
angles (deg): 90.00 90.00 90.00
Space group F-43m (No. 216)
Symmetry-distinct sites (fractional):
Tm 0.000 0.000 0.000 [4 per cell]
Th 0.250 0.250 0.750 [4 per cell]
Hg 0.125 0.125 0.375 [16 per cell]

Results
As for the crystal system: cubic. The calculation puts the formation energy from the elements at -104 meV per atom. The excess energy over the best structure of this formula in the dataset is 192.8 meV/atom.


# 9
## Ce2Mn5Ni5 (GGA-PBE)

Data for crystalline Ce2Mn5Ni5 at its relaxed geometry.

a b c (Å): 4.006 5.098 8.710
angles (deg): 90.00 90.00 90.00
Space group Pmmm (No. 47)
Symmetry-distinct sites (fractional):
Ce 0.000 0.000 0.000 [1 per cell]
Ce 0.000 0.500 0.500 [1 per cell]
Mn 0.000 0.000 0.334 [2 per cell]
Mn 0.000 0.500 0.163 [2 per cell]
Mn 0.500 0.500 0.000 [1 per cell]
Ni 0.500 0.000 0.500 [1 per cell]
Ni 0.500 0.248 0.249 [4 per cell]

Results
As for the crystal system: orthorhombic. The calculation puts the formation energy from the elements at -135 meV per atom.


# 10
## CaMnCd2 (GGA-PBE)

Data for crystalline CaMnCd2 at its relaxed geometry.

a b c (Å): 3.545 3.504 7.289
angles (deg): 90.00 90.07 90.00
Space group P2/m (No. 10)
Symmetry-distinct sites (fractional):
Ca 0.000 0.000 0.000 [1 per cell]
Mn 0.000 0.000 0.500 [1 per cell]
Cd 0.500 0.500 0.293 [2 per cell]

Results
As for the crystal system: monoclinic. The calculation puts the formation energy from the elements at 2 meV per atom.


# 11
## NaBr3N (GGA-PBE)

Data for crystalline NaBr3N at its relaxed geometry.

a b c (Å): 4.806 4.806 4.806
angles (deg): 90.00 90.00 90.00
Space group Pm-3m (No. 221)
Symmetry-distinct sites (fractional):
Na 0.000 0.000 0.000 [1 per cell]
Br 0.000 0.500 0.500 [3 per cell]
N 0.500 0.500 0.500 [1 per cell]

Results
As for the crystal system: cubic. The excess energy over the best structure of this formula in the dataset is 0.0 meV/atom. The value obtained for the formation energy without anion corrections is 0.29 eV per atom.


# 12
## PrSmZn (GGA-PBE)

Data for crystalline PrSmZn at its relaxed geometry.

a b c (Å): 5.0578 5.0578 3.8006
angles (deg): 90.00 90.00 120.00
Space group P3m1 (No. 156)
Symmetry-distinct sites (fractional):
Pr 0.0000 0.0000 0.0000 [1 per cell]
Sm 0.6667 0.3333 0.5647 [1 per cell]
Zn 0.3333 0.6667 0.3079 [1 per cell]

Results
As for the crystal system: trigonal. The calculation puts the formation energy from the elements at -52 meV per atom. The excess energy over the best structure of this formula in the dataset is 143.6 meV/atom.